First-principles (PBE) data for crystalline BaGe2Pd2 at its relaxed geometry, as listed in the Alexandria database. Values from VASP.

Summary:
As for the raw total energy: -4.607 eV/atom. For the volume, the calculation gives 21.32 Å³/atom. The value obtained for the total magnetization is 0.00 μB/cell. The value obtained for the calculated density is 7718 kg/m³. Its crystal system is tetragonal. The calculation puts the formation energy at -299 meV per atom. The symmetry is P4/mbm, No. 127.

Geometry as Quantum ESPRESSO input:
```
&SYSTEM
  ibrav = 0, nat = 10, ntyp = 3
/
ATOMIC_SPECIES
Ba 137.33 Ba.upf
Ge 72.64 Ge.upf
Pd 106.42 Pd.upf
CELL_PARAMETERS angstrom
8.1102 0.0000 0.0000
0.0000 8.1102 0.0000
0.0000 0.0000 3.2411
ATOMIC_POSITIONS crystal
Ba 0.0000 0.0000 0.0000
Ba 0.5000 0.5000 0.0000
Ge 0.1403 0.3597 0.5000
Ge 0.3597 0.8597 0.5000
Ge 0.6403 0.1403 0.5000
Ge 0.8597 0.6403 0.5000
Pd 0.1233 0.6233 0.0000
Pd 0.3767 0.1233 0.0000
Pd 0.6233 0.8767 0.0000
Pd 0.8767 0.3767 0.0000
```



First-principles (PBE) data for crystalline Ba2GePd3 at its relaxed geometry, as listed in the Alexandria database. Values from VASP.

Summary:
As for the raw total energy: -4.556 eV/atom. For the volume, the calculation gives 27.28 Å³/atom. The value obtained for the total magnetization is 0.00 μB/cell. The value obtained for the calculated density is 6763 kg/m³. Its crystal system is orthorhombic. The calculation puts the formation energy at -549 meV per atom. The symmetry is Cmcm, No. 63.

Geometry as Quantum ESPRESSO input:
```
&SYSTEM
  ibrav = 0, nat = 12, ntyp = 3
/
ATOMIC_SPECIES
Ba 137.33 Ba.upf
Ge 72.64 Ge.upf
Pd 106.42 Pd.upf
CELL_PARAMETERS angstrom
6.4658 -4.6181 0.0000
6.4658 4.6181 0.0000
0.0000 0.0000 5.4809
ATOMIC_POSITIONS crystal
Ba 0.0279 0.6671 0.7500
Ba 0.3329 0.9721 0.7500
Ba 0.6671 0.0279 0.2500
Ba 0.9721 0.3329 0.2500
Ge 0.3495 0.6505 0.2500
Ge 0.6505 0.3495 0.7500
Pd 0.0829 0.9171 0.2500
Pd 0.3776 0.3776 0.0000
Pd 0.3776 0.3776 0.5000
Pd 0.6224 0.6224 0.0000
Pd 0.6224 0.6224 0.5000
Pd 0.9171 0.0829 0.7500
```